Record 1
# Pr2MnPd

A relaxed structure of Pr2MnPd (PBE, Alexandria).

## Properties
formation energy from the elements = -18.4 kJ/mol of atoms
V = 98.9 Å³/cell
theoretical density = 7.4 Mg/m³

Lattice parameters (Å, degrees): 3.7138 3.7138 7.1715 90.00 90.00 90.00
Closest atoms and distances in Å follow each position.
Positions (direct):
Pr (0.0000, 0.0000, 0.2460)  4 Pd 3.16, 4 Mn 3.20, 1 Pr 3.53
Pr (0.0000, 0.0000, 0.7540)  4 Pd 3.16, 4 Mn 3.20, 1 Pr 3.53
Mn (0.5000, 0.5000, 0.5000)  8 Pr 3.20
Pd (0.5000, 0.5000, 0.0000)  8 Pr 3.16

Record 2
# Pr2MnPd9

A relaxed structure of Pr2MnPd9 (PBE, Alexandria).

## Properties
formation energy from the elements = -52.3 kJ/mol of atoms
V = 211.0 Å³/cell
theoretical density = 10.2 Mg/m³

Lattice parameters (Å, degrees): 4.1779 4.1779 12.0862 90.00 90.00 90.00
Closest atoms and distances in Å follow each position.
Positions (direct):
Pr (0.0000, 0.0000, 0.1769)  12 Pd 2.95-2.99
Pr (0.0000, 0.0000, 0.8231)  12 Pd 2.95-2.99
Mn (0.0000, 0.0000, 0.5000)  12 Pd 2.75-2.95
Pd (0.0000, 0.5000, 0.0000)  8 Pd 2.95-2.97, 4 Pr 2.99
Pd (0.0000, 0.5000, 0.3521)  2 Mn 2.75, 8 Pd 2.75-2.99, 2 Pr 2.97
Pd (0.0000, 0.5000, 0.6479)  2 Mn 2.75, 8 Pd 2.75-2.99, 2 Pr 2.97
Pd (0.5000, 0.0000, 0.0000)  8 Pd 2.95-2.97, 4 Pr 2.99
Pd (0.5000, 0.0000, 0.3521)  2 Mn 2.75, 8 Pd 2.75-2.99, 2 Pr 2.97
Pd (0.5000, 0.0000, 0.6479)  2 Mn 2.75, 8 Pd 2.75-2.99, 2 Pr 2.97
Pd (0.5000, 0.5000, 0.1747)  4 Pr 2.95, 8 Pd 2.97-2.99
Pd (0.5000, 0.5000, 0.5000)  8 Pd 2.75, 4 Mn 2.95
Pd (0.5000, 0.5000, 0.8253)  4 Pr 2.95, 8 Pd 2.97-2.99

Record 3
# Pr2MnSnPd6

A relaxed structure of Pr2MnSnPd6 (PBE, Alexandria).

## Properties
formation energy from the elements = -50.1 kJ/mol of atoms
V = 201.0 Å³/cell
theoretical density = 9.0 Mg/m³

Lattice parameters (Å, degrees): 6.6177 6.6177 7.8751 125.90 125.90 49.80
Closest atoms and distances in Å follow each position.
Positions (direct):
Pr (0.0005, 0.0005, 0.2548)  7 Pd 2.91-3.25
Pr (0.9995, 0.9995, 0.7452)  7 Pd 2.91-3.25
Mn (0.5000, 0.5000, 0.5000)  6 Pd 2.53-2.67
Sn (0.5000, 0.5000, 0.0000)  6 Pd 2.63-2.77
Pd (0.0093, 0.5030, 0.1997)  1 Mn 2.67, 4 Pd 2.75-2.90, 1 Sn 2.77
Pd (0.3177, 0.3177, 0.5624)  1 Mn 2.53, 1 Sn 2.63, 2 Pd 2.80
Pd (0.4970, 0.9907, 0.8003)  1 Mn 2.67, 4 Pd 2.75-2.90, 1 Sn 2.77
Pd (0.5030, 0.0093, 0.1997)  1 Mn 2.67, 4 Pd 2.75-2.90, 1 Sn 2.77
Pd (0.6823, 0.6823, 0.4376)  1 Mn 2.53, 1 Sn 2.63, 2 Pd 2.80
Pd (0.9907, 0.4970, 0.8003)  1 Mn 2.67, 4 Pd 2.75-2.90, 1 Sn 2.77